## LaCeGaHg (PBE-GGA)

Data for a relaxed structure of LaCeGaHg.

## Properties
* calculated formation energy: -1.659 eV per formula unit
* excess energy over the best structure of this formula in the dataset: 0.037 eV per atom
* theoretical density: 8.26 Mg/m³
* total energy: -3.962 eV per atom
* volume: 110 Å³ per cell
* N(E_F): 10.2 states/eV per cell

abc: 5.384 5.384 5.384
angles: 60.00 60.00 60.00
Fractional positions:
La  0.000  0.000  0.000
Ce  0.500  0.500  0.500
Ga  0.250  0.250  0.250
Hg  0.750  0.750  0.750

## LaCeGaHg (PBE-GGA)

Data for a relaxed structure of LaCeGaHg.

## Properties
* calculated formation energy: -1.806 eV per formula unit
* excess energy over the best structure of this formula in the dataset: 0.000 eV per atom
* theoretical density: 8.39 Mg/m³
* total energy: -3.999 eV per atom
* volume: 109 Å³ per cell
* N(E_F): 8.9 states/eV per cell

abc: 3.728 3.728 7.820
angles: 90.00 90.00 90.00
Fractional positions:
La  0.000  0.000  0.000
Ce  0.000  0.000  0.467
Ga  0.500  0.500  0.241
Hg  0.500  0.500  0.724